## LaRe2Si3 (PBE)

Data for a relaxed structure of LaRe2Si3.

Structure (POSCAR):
```
LaRe2Si3
1.0
4.950 -3.826 0.000
4.950 3.826 0.000
0.000 0.000 5.581
La Re Si
2 4 6
direct
0.165 0.835 0.750
0.835 0.165 0.250
0.300 0.300 0.000
0.300 0.300 0.500
0.700 0.700 0.000
0.700 0.700 0.500
0.032 0.605 0.250
0.395 0.968 0.250
0.424 0.576 0.250
0.576 0.424 0.750
0.605 0.032 0.750
0.968 0.395 0.750
```

Values from the calculation:
- Energy: -97.07 eV for the cell shown